The following is a PBE calculation of a geometry-optimized Cs3SrFe structure, from the Alexandria database.

Output
crystal system: cubic
final energy: -8.7 eV/cell
calculated volume: 67.104 Å³ per atom
magnetic moment: 3.55 μB/f.u.

Unit cell a=6.9487 b=6.9487 c=6.9487 alpha=90.00 beta=90.00 gamma=90.00
Sites, in units of the cell vectors:
Cs (0.0000, 0.0000, 0.5000)
Cs (0.0000, 0.5000, 0.0000)
Cs (0.5000, 0.0000, 0.0000)
Sr (0.5000, 0.5000, 0.5000)
Fe (0.0000, 0.0000, 0.0000)

The following is a PBE calculation of a geometry-optimized Ca3GeF structure, from the Alexandria database.

Output
crystal system: monoclinic
final energy: -38.9 eV/cell
calculated volume: 26.660 Å³ per atom
energy relative to the lowest polymorph listed for this composition: 0 meV per atom
uncorrected formation energy: -1393.2 meV/atom
magnetic moment: 0.01 μB/f.u.

Unit cell a=8.1375 b=8.1375 c=9.1261 alpha=91.95 beta=91.95 gamma=26.20
Sites, in units of the cell vectors:
Ca (0.0419, 0.0419, 0.3058)
Ca (0.1468, 0.1468, 0.9767)
Ca (0.3300, 0.3300, 0.3926)
Ca (0.6700, 0.6700, 0.6074)
Ca (0.8532, 0.8532, 0.0233)
Ca (0.9581, 0.9581, 0.6942)
Ge (0.3019, 0.3019, 0.7559)
Ge (0.6981, 0.6981, 0.2441)
F (0.0805, 0.0805, 0.5532)
F (0.9195, 0.9195, 0.4468)

The following is a PBE calculation of a geometry-optimized SrLiGd structure, from the Alexandria database.

Output
crystal system: tetragonal
final energy: -17.2 eV/cell
calculated volume: 34.708 Å³ per atom
magnetic moment: 8.31 μB/f.u.

Unit cell a=7.4103 b=7.4103 c=7.4103 alpha=149.57 beta=149.57 gamma=43.58
Sites, in units of the cell vectors:
Sr (0.0000, 0.0000, 0.0000)
Li (0.6652, 0.6652, 0.0000)
Gd (0.2948, 0.2948, 0.0000)